Entry from Alexandria: Tm3Co7B2 after structural relaxation (PBE-GGA).

Calculated values
Total DFT energy (no corrections) (eV per atom): -6.765
Formation energy (meV per atom): -390

```
12
Lattice="2.510 1.449 7.020 -2.510 1.449 7.020 0.000 -2.898 7.020" Properties=species:S:1:pos:R:3 pbc="T T T"
Tm 0.000 0.000 0.000
Tm 0.000 0.000 3.022
Tm 0.000 0.000 18.038
Co -1.246 -0.719 8.477
Co 0.000 -1.439 12.583
Co -1.246 0.719 12.583
Co 0.000 0.000 10.530
Co 1.246 -0.719 8.477
Co 0.000 1.439 8.477
Co 1.246 0.719 12.583
B 0.000 0.000 7.011
B 0.000 0.000 14.048
```